Here is a relaxed structure of Cs3U2Se3S4 from Alexandria. Energies are from PBE.

## Properties
As for the formation energy from raw total energies: -1.269 eV per atom. Its total energy is -5.611 eV/atom. The magnetization is 1.010 μB/f.u. Its space-group type is No. 71. Its calculated volume is 411 Å³/cell.

a b c (Å): 5.232 5.504 14.760
angles (deg): 100.75 100.21 90.00
Element x y z (fractional)
Cs: 0.314 0.312 0.624
Cs: 0.690 0.688 0.376
Cs: 0.502 0.500 0.000
U: 0.100 0.097 0.195
U: 0.905 0.903 0.805
Se: 0.002 0.000 0.000
Se: 0.097 0.595 0.190
Se: 0.907 0.405 0.810
S: 0.407 0.905 0.809
S: 0.598 0.095 0.191
S: 0.186 0.183 0.367
S: 0.819 0.817 0.633